Entry 1:
Crystalline NbZnSb2I at its relaxed geometry, computed with PBE.

a = 5.0908 Å, b = 5.0908 Å, c = 5.6024 Å
α = 90.00°, β = 90.00°, γ = 90.00°
Each line ends with the local moment (μB).
Element x y z (fractional)
Nb 0.5000 0.5000 0.5000  2.50
I 0.0000 0.0000 0.5000  -0.09
Sb 0.0000 0.5000 0.0000  -0.09
Sb 0.5000 0.0000 0.0000  -0.09
Zn 0.0000 0.0000 0.0000  0.01

The value obtained for the raw formation energy is 972.0 meV/atom. As for the relative energy among the computed polymorphs: 580 meV per atom. The magnetic moment is 2.76 μB/f.u. As for the space group: P4/mmm.

Entry 2:
Crystalline NbZnSb2I at its relaxed geometry, computed with PBE.

a = 5.3516 Å, b = 5.3516 Å, c = 5.8112 Å
α = 90.00°, β = 90.00°, γ = 90.00°
Element x y z (fractional)
Nb 0.0000 0.0000 0.0000
Sb 0.0000 0.5000 0.0000
Sb 0.5000 0.0000 0.0000
Zn 0.5000 0.5000 0.5000
I 0.0000 0.0000 0.5000

The value obtained for the raw formation energy is 391.8 meV/atom. As for the relative energy among the computed polymorphs: 0 meV per atom. The magnetic moment is 0.00 μB/f.u. As for the space group: P4/mmm.

Entry 3:
Crystalline NbZnSbI2 at its relaxed geometry, computed with PBE.

a = 5.4264 Å, b = 5.4264 Å, c = 5.2632 Å
α = 90.00°, β = 90.00°, γ = 90.00°
Each line ends with the local moment (μB).
Element x y z (fractional)
Nb 0.5000 0.5000 0.5000  2.66
Zn 0.0000 0.0000 0.0000  0.02
I 0.0000 0.5000 0.0000  -0.07
I 0.5000 0.0000 0.0000  -0.07
Sb 0.0000 0.0000 0.5000  -0.23

The value obtained for the raw formation energy is 917.8 meV/atom. As for the relative energy among the computed polymorphs: 614 meV per atom. The magnetic moment is 2.76 μB/f.u. As for the space group: P4/mmm.

Entry 4:
Crystalline NbZnSbI2 at its relaxed geometry, computed with PBE.

a = 5.6152 Å, b = 5.6152 Å, c = 5.4531 Å
α = 90.00°, β = 90.00°, γ = 90.00°
Element x y z (fractional)
Sb 0.0000 0.0000 0.5000
I 0.0000 0.5000 0.0000
I 0.5000 0.0000 0.0000
Zn 0.5000 0.5000 0.5000
Nb 0.0000 0.0000 0.0000

The value obtained for the raw formation energy is 303.7 meV/atom. As for the relative energy among the computed polymorphs: 0 meV per atom. The magnetic moment is 0.00 μB/f.u. As for the space group: P4/mmm.

Entry 5:
Crystalline ZrNbSbI2 at its relaxed geometry, computed with PBE.

a = 5.4541 Å, b = 5.4541 Å, c = 5.5155 Å
α = 90.00°, β = 90.00°, γ = 90.00°
Each line ends with the local moment (μB).
Element x y z (fractional)
Zr 0.5000 0.5000 0.5000  1.49
Nb 0.0000 0.0000 0.0000  1.03
Sb 0.0000 0.0000 0.5000  -0.11
I 0.5000 0.0000 0.0000  -0.03
I 0.0000 0.5000 0.0000  -0.03

The value obtained for the raw formation energy is 748.8 meV/atom. As for the relative energy among the computed polymorphs: 0 meV per atom. The magnetic moment is 3.40 μB/f.u. As for the space group: P4/mmm.

Entry 6:
Crystalline ZrNbSb2I at its relaxed geometry, computed with PBE.

a = 5.3436 Å, b = 5.3436 Å, c = 5.5184 Å
α = 90.00°, β = 90.00°, γ = 90.00°
Each line ends with the local moment (μB).
Element x y z (fractional)
Sb 0.0000 0.5000 0.0000  -0.06
Sb 0.5000 0.0000 0.0000  -0.06
Zr 0.5000 0.5000 0.5000  1.31
I 0.0000 0.0000 0.5000  -0.04
Nb 0.0000 0.0000 0.0000  0.40

The value obtained for the raw formation energy is 720.0 meV/atom. As for the relative energy among the computed polymorphs: 0 meV per atom. The magnetic moment is 2.30 μB/f.u. As for the space group: P4/mmm.

Entry 7:
Crystalline Sc3NbI at its relaxed geometry, computed with PBE.

a = 5.2301 Å, b = 5.2301 Å, c = 5.2301 Å
α = 90.00°, β = 90.00°, γ = 90.00°
Element x y z (fractional)
Sc 0.0000 0.0000 0.5000
Sc 0.0000 0.5000 0.0000
Sc 0.5000 0.0000 0.0000
Nb 0.0000 0.0000 0.0000
I 0.5000 0.5000 0.5000

The value obtained for the raw formation energy is 546.2 meV/atom. As for the relative energy among the computed polymorphs: 0 meV per atom. The magnetic moment is 0.00 μB/f.u. As for the space group: Pm-3m.

Entry 8:
Crystalline ScNbI2 at its relaxed geometry, computed with PBE.

a = 5.0378 Å, b = 5.0378 Å, c = 5.0378 Å
α = 60.00°, β = 60.00°, γ = 60.00°
Each line ends with the local moment (μB).
Element x y z (fractional)
Nb 0.5000 0.5000 0.5000  0.98
I 0.2500 0.2500 0.2500  0.00
I 0.7500 0.7500 0.7500  0.00
Sc 0.0000 0.0000 0.0000  0.25

The value obtained for the raw formation energy is 153.0 meV/atom. As for the relative energy among the computed polymorphs: 0 meV per atom. The magnetic moment is 1.63 μB/f.u. As for the space group: Fm-3m.

Entry 9:
Crystalline ScNbI2 at its relaxed geometry, computed with PBE.

a = 5.0044 Å, b = 5.0044 Å, c = 9.7122 Å
α = 75.07°, β = 75.07°, γ = 90.00°
Each line ends with the local moment (μB).
Element x y z (fractional)
Nb 0.0000 0.0000 0.0000  1.04
Nb 0.7500 0.2500 0.5000  1.03
I 0.8750 0.8849 0.7500  0.00
I 0.1151 0.6250 0.2500  0.00
I 0.6349 0.1250 0.2500  0.00
I 0.3750 0.3651 0.7500  0.00
Sc 0.2500 0.7500 0.5000  0.17
Sc 0.5000 0.5000 0.0000  0.18

The value obtained for the raw formation energy is 291.8 meV/atom. As for the relative energy among the computed polymorphs: 139 meV per atom. The magnetic moment is 1.85 μB/f.u. As for the space group: I-42d.

Entry 10:
Crystalline Sc2NbI at its relaxed geometry, computed with PBE.

a = 10.1144 Å, b = 10.1144 Å, c = 10.1144 Å
α = 20.21°, β = 20.21°, γ = 20.21°
Each line ends with the local moment (μB).
Element x y z (fractional)
Sc 0.9038 0.9038 0.9038  0.34
Sc 0.0962 0.0962 0.0962  0.34
Nb 0.5000 0.5000 0.5000  0.73
I 0.0000 0.0000 0.0000  0.00

The value obtained for the raw formation energy is 177.7 meV/atom. As for the relative energy among the computed polymorphs: 0 meV per atom. The magnetic moment is 1.94 μB/f.u. As for the space group: R-3m.

Entry 11:
Crystalline Sc2NbI at its relaxed geometry, computed with PBE.

a = 4.9581 Å, b = 4.9581 Å, c = 4.9581 Å
α = 60.00°, β = 60.00°, γ = 60.00°
Element x y z (fractional)
Sc 0.2500 0.2500 0.2500
Sc 0.7500 0.7500 0.7500
I 0.5000 0.5000 0.5000
Nb 0.0000 0.0000 0.0000

The value obtained for the raw formation energy is 318.8 meV/atom. As for the relative energy among the computed polymorphs: 141 meV per atom. The magnetic moment is 0.00 μB/f.u. As for the space group: Fm-3m.